No. 1
Material: CdAs2PSe
Method: DFT, GGA-PBE
State: relaxed

Calculated values
raw total energy: -2.56 eV per atom
E above lowest polymorph: 3.62 eV per formula unit
space group: P4/mmm (123)
E_form (uncorrected): 1.2612 eV per atom

extended XYZ file:
```
5
Lattice="5.1211 0.0000 0.0000 0.0000 5.1211 0.0000 0.0000 0.0000 5.0920" Properties=species:S:1:pos:R:3 pbc="T T T"
Cd 0.0000 0.0000 0.0000
As 0.0000 2.5605 0.0000
As 2.5605 0.0000 0.0000
P 2.5605 2.5605 2.5460
Se 0.0000 0.0000 2.5460
```


No. 2
Material: Sr2Cd2As2P
Method: DFT, GGA-PBE
State: relaxed

Calculated values
raw total energy: -3.46 eV per atom
energy of formation from the pure elements: -615 meV per atom
space group: P-1 (2)

extended XYZ file:
```
7
Lattice="4.3897 0.0000 0.0000 2.1643 6.4849 0.0000 2.1644 1.4290 6.6207" Properties=species:S:1:pos:R:3 pbc="T T T"
Sr 1.0852 1.4365 1.3491
Sr 7.6332 6.4774 5.2716
Cd 3.2604 3.1495 4.0116
Cd 5.4580 4.7644 2.6092
As 3.2635 4.1543 0.9774
As 5.4548 3.7596 5.6433
P 3.2770 0.7145 3.3104
```


No. 3
Material: Pa2CdAs
Method: DFT, GGA-PBE
State: relaxed

Calculated values
raw total energy: -6.07 eV per atom
energy of formation from the pure elements: 68 meV per atom
space group: R-3m (166)

extended XYZ file:
```
4
Lattice="1.6920 0.9769 10.7566 -1.6920 0.9769 10.7566 0.0000 -1.9537 10.7566" Properties=species:S:1:pos:R:3 pbc="T T T"
Pa 0.0000 0.0000 3.3059
Pa 0.0000 0.0000 28.9640
Cd 0.0000 0.0000 0.0000
As 0.0000 0.0000 16.1349
```


No. 4
Material: PaCdAs2
Method: DFT, GGA-PBE
State: relaxed

Calculated values
raw total energy: -5.23 eV per atom
E above lowest polymorph: 1.20 eV per formula unit
energy of formation from the pure elements: -305 meV per atom
space group: R-3m (166)

extended XYZ file:
```
4
Lattice="2.1275 1.2283 8.1663 -2.1275 1.2283 8.1663 0.0000 -2.4566 8.1663" Properties=species:S:1:pos:R:3 pbc="T T T"
Pa 0.0000 0.0000 0.0000
Cd 0.0000 0.0000 12.2494
As 0.0000 0.0000 9.6347
As 0.0000 0.0000 14.8641
```


No. 5
Material: PaCdAs2
Method: DFT, GGA-PBE
State: relaxed

Calculated values
raw total energy: -5.53 eV per atom
E above lowest polymorph: 0.00 eV per formula unit
energy of formation from the pure elements: -605 meV per atom
space group: P4/mmm (123)

extended XYZ file:
```
4
Lattice="4.7027 0.0000 0.0000 0.0000 4.7027 0.0000 0.0000 0.0000 3.7739" Properties=species:S:1:pos:R:3 pbc="T T T"
Pa 0.0000 0.0000 0.0000
Cd 2.3514 2.3514 0.0000
As 0.0000 2.3514 1.8870
As 2.3514 0.0000 1.8870
```


No. 6
Material: Sr4Pa3CdAs8
Method: DFT, GGA-PBE
State: relaxed

Calculated values
raw total energy: -5.58 eV per atom
energy of formation from the pure elements: -997 meV per atom
space group: R-3m (166)

extended XYZ file:
```
16
Lattice="4.2633 2.4614 7.1020 -4.2633 2.4614 7.1020 0.0000 -4.9228 7.1020" Properties=species:S:1:pos:R:3 pbc="T T T"
Sr 0.0000 0.0000 0.0000
Sr -2.1316 -1.2307 7.1020
Sr -2.1316 1.2307 14.2040
Sr 0.0000 2.4614 7.1020
Pa -4.2633 0.0000 10.6530
Pa -2.1316 1.2307 3.5510
Pa 2.1316 1.2307 3.5510
Cd 0.0000 0.0000 10.6530
As -2.2035 -1.2722 12.1945
As 0.0000 0.0000 5.0999
As 0.0000 -2.5444 9.1114
As -2.2035 1.2722 9.1114
As 2.2035 -1.2722 12.1945
As 0.0000 2.5444 12.1945
As 0.0000 0.0000 16.2060
As 2.2035 1.2722 9.1114
```


No. 7
Material: CdAsPb2
Method: DFT, GGA-PBE
State: relaxed

Calculated values
raw total energy: -3.15 eV per atom
E above lowest polymorph: 0.17 eV per formula unit
energy of formation from the pure elements: 95 meV per atom
space group: Pm (6)

extended XYZ file:
```
4
Lattice="3.5796 0.0000 0.0000 0.0000 4.0522 0.0000 -1.6350 0.0000 7.6504" Properties=species:S:1:pos:R:3 pbc="T T T"
Cd 0.0000 0.0000 0.0000
As 0.1536 2.0261 6.5763
Pb 0.0303 0.0000 4.3610
Pb 1.7814 2.0261 2.0640
```


No. 8
Material: Cd2AsPb
Method: DFT, GGA-PBE
State: relaxed

Calculated values
raw total energy: -2.43 eV per atom
E above lowest polymorph: 0.20 eV per formula unit
energy of formation from the pure elements: 121 meV per atom
space group: P2/m (10)

extended XYZ file:
```
4
Lattice="3.2964 0.0000 0.0000 0.0000 5.1868 0.0000 -0.0184 0.0000 5.8859" Properties=species:S:1:pos:R:3 pbc="T T T"
Cd 3.2902 0.0000 1.4739
Cd -0.0121 0.0000 4.4120
As 0.0000 2.5934 0.0000
Pb 1.6390 2.5934 2.9429
```


> Among the records above, which one has the lowest raw total energy?

Pa2CdAs


> The lowest raw total energy belongs to which entry?

Pa2CdAs


Copy entry 8 word for word.
Material: Cd2AsPb
Method: DFT, GGA-PBE
State: relaxed

Calculated values
raw total energy: -2.43 eV per atom
E above lowest polymorph: 0.20 eV per formula unit
energy of formation from the pure elements: 121 meV per atom
space group: P2/m (10)

extended XYZ file:
```
4
Lattice="3.2964 0.0000 0.0000 0.0000 5.1868 0.0000 -0.0184 0.0000 5.8859" Properties=species:S:1:pos:R:3 pbc="T T T"
Cd 3.2902 0.0000 1.4739
Cd -0.0121 0.0000 4.4120
As 0.0000 2.5934 0.0000
Pb 1.6390 2.5934 2.9429
```